ZnH2O, relaxed, DFT PBE; density = 3.1 g cm⁻³; calculated total energy = -15.68 eV/f.u.; space group = No. 1; Fermi-level density of states = 0.00 states/eV/f.u.; total magnetic moment = 0.00 μB per cell
1.0
2.815 0.000 0.000
-0.001 3.299 0.000
-0.271 -0.024 4.794
Zn H O
1 2 1
Direct
0.000 0.000 0.000
0.512 0.002 0.195
0.658 0.497 0.666
0.977 0.498 0.762

TcN2ClF, relaxed, DFT PBE; uncorrected formation energy = 1.73 eV per formula unit; density = 4.8 g cm⁻³; space group = No. 123; Fermi-level density of states = 2.55 states/eV/f.u.; total magnetic moment = 0.57 μB per cell
1.0
3.908 0.000 0.000
0.000 3.908 0.000
0.000 0.000 4.112
Tc N Cl F
1 2 1 1
Direct
0.000 0.000 0.000
0.000 0.500 0.000
0.500 0.000 0.000
0.500 0.500 0.500
0.000 0.000 0.500

MgZn2Si, relaxed, DFT PBE; uncorrected formation energy = 0.46 eV per formula unit; density = 4.5 g cm⁻³; space group = No. 8; Fermi-level density of states = 1.31 states/eV/f.u.; total magnetic moment = 0.00 μB per cell
1.0
4.244 -1.559 0.000
4.244 1.559 0.000
-1.148 0.000 5.162
Mg Zn Si
1 2 1
Direct
0.000 0.000 0.000
0.504 0.504 0.489
0.758 0.758 0.285
0.246 0.246 0.726